BaCo2W | PBE | relaxed

Structure (POSCAR):
```
BaCo2W
1.0
3.158 0.000 0.000
0.000 3.158 0.000
0.000 0.000 7.666
Ba Co W
1 2 1
direct
0.000 0.000 0.000
0.000 0.000 0.484
0.500 0.500 0.328
0.500 0.500 0.634
```

Results
- E_form: 750 meV per atom
- Symmetry: P4mm
- DFT total energy: -6.52 eV per atom

BaCoW2 | PBE | relaxed

Structure (POSCAR):
```
BaCoW2
1.0
2.668 -5.289 0.000
2.668 5.289 0.000
0.000 0.000 2.810
Ba Co W
1 1 2
direct
0.000 0.000 0.000
0.500 0.500 0.000
0.000 0.500 0.500
0.500 0.000 0.500
```

Results
- E_form: 1578 meV per atom
- Symmetry: Cmmm
- DFT total energy: -7.16 eV per atom

BaCoW4 | PBE | relaxed

Structure (POSCAR):
```
BaCoW4
1.0
0.000 3.886 3.886
3.886 0.000 3.886
3.886 3.886 0.000
Ba Co W
1 1 4
direct
0.000 0.000 0.000
0.750 0.750 0.750
0.375 0.375 0.375
0.375 0.375 0.874
0.375 0.874 0.375
0.874 0.375 0.375
```

Results
- E_form: 1217 meV per atom
- Symmetry: F-43m
- DFT total energy: -8.92 eV per atom